Record 1
Y2ReW after structural relaxation. Source: the Alexandria database, functional PBE.

Calculated values
- energy above the most stable polymorph in this dataset (meV/atom) = 381
- space-group type = No. 216
- formation enthalpy at 0 K (kcal/mol of atoms) = 11.36
- mass density (g/cm3) = 11.28
- DOS(E_F) (states/eV per cell) = 5.37
- energy (Ry per atom) = -0.6681

abc: 4.8494 4.8494 4.8494
angles: 120.00 120.00 90.00
Element x y z (fractional)
Re 0.5000 0.5000 0.0000
W 0.7500 0.2500 0.5000
Y 0.0000 0.0000 0.0000
Y 0.2500 0.7500 0.5000

---

Record 2
YRe2W after structural relaxation. Source: the Alexandria database, functional PBE.

Calculated values
- energy above the most stable polymorph in this dataset (meV/atom) = 198
- space-group type = No. 119
- formation enthalpy at 0 K (kcal/mol of atoms) = 7.98
- mass density (g/cm3) = 15.64
- DOS(E_F) (states/eV per cell) = 1.75
- energy (Ry per atom) = -0.7888

abc: 4.5915 4.5915 4.5915
angles: 119.96 119.96 90.07
Element x y z (fractional)
Re 0.0000 0.0000 0.0000
Re 0.2500 0.7500 0.5000
W 0.5000 0.5000 0.0000
Y 0.7500 0.2500 0.5000

---

Record 3
YReW2 after structural relaxation. Source: the Alexandria database, functional PBE.

Calculated values
- energy above the most stable polymorph in this dataset (meV/atom) = 175
- space-group type = No. 47
- formation enthalpy at 0 K (kcal/mol of atoms) = 10.64
- mass density (g/cm3) = 15.04
- DOS(E_F) (states/eV per cell) = 3.68
- energy (Ry per atom) = -0.7896

abc: 3.2434 4.6215 4.7353
angles: 90.00 90.00 90.00
Element x y z (fractional)
Re 0.0000 0.5000 0.5000
W 0.0000 0.0000 0.0000
W 0.5000 0.5000 0.0000
Y 0.5000 0.0000 0.5000